First-principles (PBE) data for ReAgIrAu after structural relaxation, as listed in OQMD via LeMat-Bulk.

Its energy above the lowest structure with this stoichiometry is 0.0 kJ/mol of formula units. For the spin magnetization, the calculation gives 0.002 μB/atom. Its crystal system is cubic. As for the formation energy: 0.642 eV/atom.

It has space group F-43m (No. 216), with a = 6.3759 Å, b = 6.3759 Å, c = 6.3759 Å, α = 90.00°, β = 90.00° and γ = 90.00°. The inequivalent atoms are Re at (0.0000, 0.0000, 0.0000), Ag at (0.0000, 0.0000, 0.5000), Ir at (0.2500, 0.2500, 0.2500) and Au at (0.2500, 0.2500, 0.7500).



First-principles (PBE) data for Lu2TaPb after structural relaxation, as listed in OQMD via LeMat-Bulk.

For the spin magnetization, the calculation gives 0.249 μB/atom. The calculation puts the total energy at -5.83 eV per atom. Its crystal system is cubic.

It has space group F-43m (No. 216), with a = 7.2113 Å, b = 7.2113 Å, c = 7.2113 Å, α = 90.00°, β = 90.00° and γ = 90.00°. The inequivalent atoms are Lu at (0.0000, 0.0000, 0.0000), Lu at (0.2500, 0.2500, 0.2500), Ta at (0.2500, 0.2500, 0.7500) and Pb at (0.0000, 0.0000, 0.5000).



First-principles (PBE) data for Y2Lu4Co3N3 after structural relaxation, as listed in OQMD via LeMat-Bulk.

For the spin magnetization, the calculation gives 0.000 μB/atom. The calculation puts the total energy at -7.26 eV per atom. Its crystal system is monoclinic.

It has space group C2/c (No. 15), with a = 10.0002 Å, b = 5.7683 Å, c = 13.8660 Å, α = 90.00°, β = 104.59° and γ = 90.00°. The inequivalent atoms are Y at (0.0402, 0.0830, 0.3787), Lu at (0.1161, 0.4122, 0.5956), Lu at (0.2187, 0.4182, 0.9045), Co at (0.0000, 0.4239, 0.7500), Co at (0.2442, 0.1590, 0.7498), N at (0.0830, 0.2489, 0.0002) and N at (0.2500, 0.2500, 0.5000).



First-principles (PBE) data for RbAg7F12 after structural relaxation, as listed in OQMD via LeMat-Bulk.

The calculation puts the total energy at -3.43 eV per atom. Its crystal system is cubic.

It has space group Im-3 (No. 204), with a = 8.3864 Å, b = 8.3864 Å, c = 8.3864 Å, α = 90.00°, β = 90.00° and γ = 90.00°. The inequivalent atoms are Rb at (0.0000, 0.0000, 0.0000), Ag at (0.0000, 0.0000, 0.5000), Ag at (0.2500, 0.2500, 0.2500) and F at (0.0000, 0.3043, 0.1821).